VASP calculation (PBE) on crystalline TbPrTlHg at its relaxed geometry.

abc: 3.819 3.819 7.765
angles: 90.00 90.00 90.00
Each line ends with the local moment (μB).
Sites, in units of the cell vectors:
Pr (0.500, 0.500, 0.113)  0.23
Tb (0.500, 0.500, 0.595)  0.10
Hg (0.000, 0.000, 0.376)  0.02
Tl (0.000, 0.000, 0.843)  0.00

Calculated values
Total magnetic moment in μB/f.u.: 0.65
Formation energy from the elements in kJ per mole of atoms: -41
Excess energy over the best structure of this formula in the dataset in kcal/mol of atoms: 0.000
V in Å³ per cell: 113
DOS(E_F) in states/eV/cell: 4.4
Electronic total energy in eV/atom: -3.45